1.
{"formula": "V2B2Os", "functional": "PBE", "state": "optimized geometry", "cell": [[5.7773, 0.0000, 0.0000], [0.0000, 5.7773, 0.0000], [0.0000, 0.0000, 3.0476]], "species": ["V", "V", "V", "V", "B", "B", "B", "B", "Os", "Os"], "fractional_positions": [[0.1701, 0.3299, 0.0000], [0.3299, 0.8299, 0.0000], [0.6701, 0.1701, 0.0000], [0.8299, 0.6701, 0.0000], [0.1130, 0.6130, 0.5000], [0.3870, 0.1130, 0.5000], [0.6130, 0.8870, 0.5000], [0.8870, 0.3870, 0.5000], [0.0000, 0.0000, 0.5000], [0.5000, 0.5000, 0.5000]], "spacegroup": "P4/mbm (127)", "formation_enthalpy_0k_ev_per_atom": -0.6158}

2.
{"formula": "PuGa4Ir2Pt", "functional": "PBE", "state": "optimized geometry", "cell": [[2.1469, 1.2395, 8.6242], [-2.1469, 1.2395, 8.6242], [0.0000, -2.4790, 8.6242]], "species": ["Pu", "Ga", "Ga", "Ga", "Ga", "Ir", "Ir", "Pt"], "fractional_positions": [[0.0000, 0.0000, 0.0000], [0.1280, 0.1280, 0.1280], [0.3972, 0.3972, 0.3972], [0.6028, 0.6028, 0.6028], [0.8720, 0.8720, 0.8720], [0.2333, 0.2333, 0.2333], [0.7667, 0.7667, 0.7667], [0.5000, 0.5000, 0.5000]], "spacegroup": "R-3m (166)", "formation_enthalpy_0k_ev_per_atom": -0.4440}

3.
{"formula": "PmGa7Fe5", "functional": "PBE", "state": "optimized geometry", "cell": [[-2.5336, 4.3647, 4.3530], [2.5336, -4.3647, 4.3530], [2.5336, 4.3647, -4.3530]], "species": ["Pm", "Ga", "Ga", "Ga", "Ga", "Ga", "Ga", "Ga", "Fe", "Fe", "Fe", "Fe", "Fe"], "fractional_positions": [[0.0000, 0.0000, 0.0000], [0.2102, 0.5031, 0.7071], [0.3295, 0.9880, 0.3415], [0.3331, 0.3331, 0.0000], [0.6464, 0.9880, 0.6585], [0.6555, 0.6555, 0.0000], [0.7657, 0.2657, 0.5000], [0.7961, 0.5031, 0.2929], [0.2384, 0.7383, 0.5000], [0.4961, 0.4921, 0.4968], [0.4961, 0.9993, 0.0040], [0.9953, 0.4921, 0.9960], [0.9953, 0.9993, 0.5032]], "spacegroup": "Imm2 (44)", "formation_enthalpy_0k_ev_per_atom": -0.2848}

4.
{"formula": "Tb4CN3", "functional": "PBE", "state": "optimized geometry", "cell": [[4.9882, 0.0000, 0.0000], [0.0000, 4.9882, 0.0000], [0.0000, 0.0000, 4.9882]], "species": ["Tb", "Tb", "Tb", "Tb", "C", "N", "N", "N"], "fractional_positions": [[0.0000, 0.0000, 0.0000], [0.0000, 0.5000, 0.5000], [0.5000, 0.0000, 0.5000], [0.5000, 0.5000, 0.0000], [0.5000, 0.5000, 0.5000], [0.0000, 0.0000, 0.5000], [0.0000, 0.5000, 0.0000], [0.5000, 0.0000, 0.0000]], "spacegroup": "Pm-3m (221)", "raw_formation_energy_ev_per_fu": -9.67}